Crystalline Re2Br13 at its relaxed geometry. Source: the Open Quantum Materials Database, functional PBE.

abc: 6.693 9.206 9.207
angles: 105.42 107.57 102.81
Fractional coordinates of all 15 atoms:
Re1 0.202 0.203 0.357
Re2 0.798 0.797 0.643
Br1 0.008 0.305 0.149
Br2 0.011 0.705 0.484
Br3 0.062 0.060 0.780
Br4 0.355 0.456 0.045
Br5 0.419 0.144 0.585
Br6 0.434 0.140 0.206
Br7 0.500 0.500 0.500
Br8 0.566 0.860 0.794
Br9 0.581 0.856 0.415
Br10 0.645 0.544 0.955
Br11 0.938 0.940 0.220
Br12 0.989 0.295 0.516
Br13 0.992 0.695 0.851

## Properties
**VASP energy**: -3.245 eV/atom